No. 1
The following is a PBE-GGA calculation of a relaxed LaOs2Au crystal, from the Alexandria database.

Values from the calculation:
* DOS at the Fermi energy: 4.666 states/eV per cell
* space group: C2/m
* total energy: -7.15 eV/atom
* energy of formation: 0.5161 eV per atom

a b c (Å): 5.0795 5.7045 2.9841
angles (deg): 75.90 87.69 115.76
With the nearest neighbours (Å) after each atom.
Atoms (fractional coordinates):
La  0.5000  0.5000  0.0000  4 Os 2.88, 4 Au 2.89-3.00, 2 La 2.98
Os  0.0000  0.0000  0.0000  2 Au 2.88, 2 La 2.88, 6 Os 2.89-3.00
Os  0.5000  0.0000  0.5000  2 La 2.88, 2 Au 2.88, 6 Os 2.89-3.00
Au  0.0000  0.5000  0.5000  4 Os 2.88, 4 La 2.89-3.00, 2 Au 2.98

---

No. 2
The following is a PBE-GGA calculation of a relaxed LaOs2Au crystal, from the Alexandria database.

Values from the calculation:
* DOS at the Fermi energy: 5.296 states/eV per cell
* space group: I-4m2
* total energy: -7.12 eV/atom
* energy of formation: 0.5413 eV per atom

a b c (Å): 5.1167 5.1167 5.1167
angles (deg): 130.60 130.60 72.46
With the nearest neighbours (Å) after each atom.
Atoms (fractional coordinates):
Os  0.0000  0.0000  0.0000  4 Os 2.97, 4 La 2.97, 4 Au 3.02
Os  0.2500  0.7500  0.5000  4 Au 2.97, 4 Os 2.97, 4 La 3.02
La  0.7500  0.2500  0.5000  8 Os 2.97-3.02, 4 Au 2.97
Au  0.5000  0.5000  0.0000  4 La 2.97, 8 Os 2.97-3.02

---

No. 3
The following is a PBE-GGA calculation of a relaxed LaOsAu4 crystal, from the Alexandria database.

Values from the calculation:
* DOS at the Fermi energy: 5.064 states/eV per cell
* space group: F-43m
* total energy: -4.75 eV/atom
* energy of formation: 0.1268 eV per atom

a b c (Å): 5.5438 5.5438 5.5438
angles (deg): 60.00 60.00 60.00
With the nearest neighbours (Å) after each atom.
Atoms (fractional coordinates):
Au  0.3743  0.8772  0.3743  6 Au 2.76-2.79
Au  0.3743  0.3743  0.3743  6 Au 2.76-2.79
Au  0.8772  0.3743  0.3743  6 Au 2.76-2.79
Au  0.3743  0.3743  0.8772  6 Au 2.76-2.79
Os  0.0000  0.0000  0.0000  12 Au 3.25, 4 La 3.39
La  0.7500  0.7500  0.7500  12 Au 3.25, 4 Os 3.39

---

No. 4
The following is a PBE-GGA calculation of a relaxed La4OsAu2 crystal, from the Alexandria database.

Values from the calculation:
* DOS at the Fermi energy: 5.389 states/eV per cell
* space group: C2/m
* total energy: -5.85 eV/atom
* energy of formation: -0.4924 eV per atom

a b c (Å): 4.7447 6.2370 8.5771
angles (deg): 119.62 106.06 90.00
With the nearest neighbours (Å) after each atom.
Atoms (fractional coordinates):
La  0.4152  0.0977  0.8304  2 Os 2.97, 3 Au 3.16-3.18
La  0.1465  0.4985  0.2931  1 Os 2.79
La  0.5848  0.9023  0.1696  2 Os 2.97, 3 Au 3.16-3.18
La  0.8535  0.5015  0.7069  1 Os 2.79
Au  0.7689  0.8596  0.5378  7 La 3.16-3.50, 2 Au 3.20, 1 Os 3.44
Au  0.2311  0.1404  0.4622  7 La 3.16-3.50, 2 Au 3.20, 1 Os 3.44
Os  0.0000  0.0000  0.0000  6 La 2.79-2.97

---

No. 5
The following is a PBE-GGA calculation of a relaxed LaOs2Au crystal, from the Alexandria database.

Values from the calculation:
* DOS at the Fermi energy: 4.998 states/eV per cell
* space group: F-43m
* total energy: -7.04 eV/atom
* energy of formation: 0.6232 eV per atom

a b c (Å): 4.7767 4.7767 4.7767
angles (deg): 60.00 60.00 60.00
With the nearest neighbours (Å) after each atom.
Atoms (fractional coordinates):
Os  0.7500  0.7500  0.7500  4 Os 2.93, 4 Au 2.93
Os  0.0000  0.0000  0.0000  4 La 2.93, 4 Os 2.93
La  0.2500  0.2500  0.2500  4 Au 2.93, 4 Os 2.93
Au  0.5000  0.5000  0.5000  4 Os 2.93, 4 La 2.93

---

No. 6
The following is a PBE-GGA calculation of a relaxed La5OsAu2 crystal, from the Alexandria database.

Values from the calculation:
* DOS at the Fermi energy: 16.080 states/eV per cell
* space group: Pbam
* total energy: -5.82 eV/atom
* energy of formation: -0.5197 eV per atom

a b c (Å): 4.3175 8.9612 12.4337
angles (deg): 90.00 90.00 90.00
With the nearest neighbours (Å) after each atom.
Atoms (fractional coordinates):
Au  0.5000  0.5686  0.1744  7 La 3.12-3.36
Au  0.5000  0.0686  0.3256  7 La 3.12-3.36
Au  0.5000  0.9314  0.6744  7 La 3.12-3.36
Au  0.5000  0.4314  0.8256  7 La 3.12-3.36
La  0.5000  0.1778  0.0784  2 Os 2.85
La  0.0000  0.0000  0.5000  4 Au 3.12
La  0.0000  0.1463  0.7997  1 Os 2.81
La  0.0000  0.5000  0.0000  4 Au 3.12
La  0.5000  0.8222  0.9216  2 Os 2.85
La  0.0000  0.8537  0.2003  1 Os 2.81
La  0.0000  0.6463  0.7003  1 Os 2.81
La  0.0000  0.3537  0.2997  1 Os 2.81
La  0.5000  0.6778  0.4216  2 Os 2.85
La  0.5000  0.3222  0.5784  2 Os 2.85
Os  0.0000  0.0000  0.0000  6 La 2.81-2.85
Os  0.0000  0.5000  0.5000  6 La 2.81-2.85

---

No. 7
The following is a PBE-GGA calculation of a relaxed La4OsAu crystal, from the Alexandria database.

Values from the calculation:
* DOS at the Fermi energy: 13.907 states/eV per cell
* space group: C2/c
* total energy: -6.03 eV/atom
* energy of formation: -0.3267 eV per atom

a b c (Å): 7.1238 7.5465 8.8235
angles (deg): 110.53 108.80 100.98
With the nearest neighbours (Å) after each atom.
Atoms (fractional coordinates):
La  0.5309  0.2735  0.0700  2 Os 2.91-2.95, 1 Au 3.16
La  0.7825  0.6190  0.5677  1 Os 2.72
La  0.4691  0.7265  0.9300  2 Os 2.91-2.95, 1 Au 3.16
La  0.0391  0.7965  0.0700  2 Os 2.91-2.95, 1 Au 3.16
La  0.9609  0.2035  0.9300  2 Os 2.91-2.95, 1 Au 3.16
La  0.2175  0.3810  0.4323  1 Os 2.72
La  0.2851  0.9486  0.5677  1 Os 2.72
La  0.7149  0.0514  0.4323  1 Os 2.72
Os  0.1586  0.9086  0.8172  6 La 2.72-2.95
Os  0.8414  0.0914  0.1828  6 La 2.72-2.95
Au  0.6277  0.3777  0.7554  8 La 3.13-3.37
Au  0.3723  0.6223  0.2446  8 La 3.13-3.37

---

No. 8
The following is a PBE-GGA calculation of a relaxed La6OsAu2 crystal, from the Alexandria database.

Values from the calculation:
* DOS at the Fermi energy: 20.889 states/eV per cell
* space group: P2_1/c
* total energy: -5.69 eV/atom
* energy of formation: -0.4317 eV per atom

a b c (Å): 7.6942 7.1173 13.3293
angles (deg): 53.78 90.00 90.00
With the nearest neighbours (Å) after each atom.
Atoms (fractional coordinates):
Au  0.6043  0.7167  0.2305  6 La 3.10-3.23
Au  0.1043  0.2833  0.2695  6 La 3.10-3.23
Au  0.8957  0.7167  0.7305  6 La 3.10-3.23
Au  0.3957  0.2833  0.7695  6 La 3.10-3.23
La  0.3093  0.7531  0.0614  1 Os 2.79, 1 Au 3.10
La  0.5373  0.8935  0.7496  1 Os 2.83, 2 Au 3.10-3.14
La  0.6864  0.6029  0.5695  1 Os 2.83, 1 Au 3.15
La  0.3136  0.3971  0.4305  1 Os 2.83, 1 Au 3.15
La  0.0373  0.1065  0.7504  1 Os 2.83, 2 Au 3.10-3.14
La  0.4627  0.1065  0.2504  1 Os 2.83, 2 Au 3.10-3.14
La  0.6907  0.2469  0.9386  1 Os 2.79, 1 Au 3.10
La  0.9627  0.8935  0.2496  1 Os 2.83, 2 Au 3.10-3.14
La  0.1864  0.3971  0.9305  1 Os 2.83, 1 Au 3.15
La  0.8136  0.6029  0.0695  1 Os 2.83, 1 Au 3.15
La  0.1907  0.7531  0.5614  1 Os 2.79, 1 Au 3.10
La  0.8093  0.2469  0.4386  1 Os 2.79, 1 Au 3.10
Os  0.0000  0.5000  0.5000  6 La 2.79-2.83
Os  0.5000  0.5000  0.0000  6 La 2.79-2.83

---

No. 9
The following is a PBE-GGA calculation of a relaxed LaOsAu crystal, from the Alexandria database.

Values from the calculation:
* DOS at the Fermi energy: 0.485 states/eV per cell
* space group: P-6m2
* total energy: -6.51 eV/atom
* energy of formation: -0.0321 eV per atom

a b c (Å): 4.4690 4.4690 4.0869
angles (deg): 90.00 90.00 120.00
With the nearest neighbours (Å) after each atom.
Atoms (fractional coordinates):
La  0.6667  0.3333  0.3332  6 Au 3.29, 6 Os 3.29
Au  0.0000  0.0000  0.8335  3 Os 2.58
Os  0.3333  0.6667  0.8334  3 Au 2.58

---

No. 10
The following is a PBE-GGA calculation of a relaxed LaOs2Au crystal, from the Alexandria database.

Values from the calculation:
* DOS at the Fermi energy: 5.931 states/eV per cell
* space group: I4/mmm
* total energy: -7.02 eV/atom
* energy of formation: 0.6492 eV per atom

a b c (Å): 5.2740 5.2740 5.2740
angles (deg): 133.22 133.22 68.32
With the nearest neighbours (Å) after each atom.
Atoms (fractional coordinates):
Os  0.0000  0.0000  0.0000  4 Os 2.96, 4 La 3.02, 4 Au 3.02
Os  0.5000  0.5000  0.0000  4 Os 2.96, 4 La 3.02, 4 Au 3.02
La  0.7500  0.2500  0.5000  4 Au 2.96, 8 Os 3.02
Au  0.2500  0.7500  0.5000  4 La 2.96, 8 Os 3.02

---

No. 11
The following is a PBE-GGA calculation of a relaxed LaOs2Au crystal, from the Alexandria database.

Values from the calculation:
* DOS at the Fermi energy: 4.016 states/eV per cell
* space group: Cmmm
* total energy: -6.86 eV/atom
* energy of formation: 0.8012 eV per atom

a b c (Å): 2.8884 2.8884 9.5155
angles (deg): 90.00 90.00 114.38
With the nearest neighbours (Å) after each atom.
Atoms (fractional coordinates):
Os  0.0000  0.0000  0.4925  2 Au 2.79, 4 Os 2.89, 2 La 2.91
Os  0.0000  0.0000  0.0075  2 Au 2.79, 4 Os 2.89, 2 La 2.91
La  0.5000  0.5000  0.7500  6 La 2.89-3.13, 4 Os 2.91
Au  0.5000  0.5000  0.2500  4 Os 2.79, 4 Au 2.89

---

No. 12
The following is a PBE-GGA calculation of a relaxed LaOs2Au crystal, from the Alexandria database.

Values from the calculation:
* DOS at the Fermi energy: 4.812 states/eV per cell
* space group: Pmmm
* total energy: -7.08 eV/atom
* energy of formation: 0.5864 eV per atom

a b c (Å): 2.8051 4.3483 6.4139
angles (deg): 90.00 90.00 90.00
With the nearest neighbours (Å) after each atom.
Atoms (fractional coordinates):
Os  0.0000  0.0000  0.4425  1 Os 2.47
Os  0.0000  0.0000  0.0575  1 Os 2.47
La  0.5000  0.5000  0.7500  2 La 2.81
Au  0.5000  0.5000  0.2500  2 Au 2.81, 8 Os 2.87

---

No. 13
The following is a PBE-GGA calculation of a relaxed La4OsAu crystal, from the Alexandria database.

Values from the calculation:
* DOS at the Fermi energy: 13.339 states/eV per cell
* space group: C2/c
* total energy: -6.08 eV/atom
* energy of formation: -0.3808 eV per atom

a b c (Å): 6.4535 7.9096 7.9096
angles (deg): 113.19 98.07 98.07
With the nearest neighbours (Å) after each atom.
Atoms (fractional coordinates):
La  0.5807  0.2177  0.3735  2 Os 3.07-3.21, 2 Au 3.17-3.25
La  0.4193  0.7823  0.6265  2 Os 3.07-3.21, 2 Au 3.17-3.25
La  0.9646  0.0615  0.7208  2 Os 2.91-2.92
La  0.4646  0.7208  0.0615  2 Os 2.91-2.92
La  0.0807  0.3735  0.2177  2 Os 3.07-3.21, 2 Au 3.17-3.25
La  0.9193  0.6265  0.7823  2 Os 3.07-3.21, 2 Au 3.17-3.25
La  0.0354  0.9385  0.2792  2 Os 2.91-2.92
La  0.5354  0.2792  0.9385  2 Os 2.91-2.92
Os  0.2500  0.9998  0.0002  8 La 2.91-3.21, 2 Os 3.23
Os  0.7500  0.0002  0.9998  8 La 2.91-3.21, 2 Os 3.23
Au  0.2500  0.3746  0.6254  8 La 3.17-3.39
Au  0.7500  0.6254  0.3746  8 La 3.17-3.39